No. 1
CeSnBiSb | PBE | optimized geometry

Computed properties:
Total energy, eV per cell: -20.02

Lattice parameters (Å, degrees): 4.8074 4.5390 5.0941 90.00 90.00 90.00
With the nearest neighbours (Å) after each atom.
Sites, in units of the cell vectors:
Bi  0.5000  0.0000  0.5000  4 Sn 3.31, 4 Ce 3.41, 4 Sb 3.50
Sb  0.0000  0.0000  0.0000  4 Ce 3.31, 4 Sn 3.41, 4 Bi 3.50
Ce  0.5000  0.5000  0.0000  4 Sb 3.31, 4 Bi 3.41, 4 Sn 3.50
Sn  0.0000  0.5000  0.5000  4 Bi 3.31, 4 Sb 3.41, 4 Ce 3.50


No. 2
Ce4SnBiSb2 | PBE | optimized geometry

Computed properties:
Total energy, eV per cell: -46.55

Lattice parameters (Å, degrees): 4.5213 7.8350 7.8346 70.57 90.00 90.00
With the nearest neighbours (Å) after each atom.
Sites, in units of the cell vectors:
Sb  0.5000  0.0000  0.5000  6 Ce 3.20
Sb  0.0000  0.0000  0.0000  6 Ce 3.17
Sn  0.5000  0.5000  0.0000  6 Ce 3.20
Ce  0.5000  0.7540  0.2456  3 Sb 3.17-3.20, 1 Sn 3.20, 2 Bi 3.23
Ce  0.0000  0.7517  0.7524  3 Sb 3.17-3.20, 2 Sn 3.20, 1 Bi 3.22
Ce  0.0000  0.2483  0.2476  3 Sb 3.17-3.20, 2 Sn 3.20, 1 Bi 3.22
Ce  0.5000  0.2460  0.7544  3 Sb 3.17-3.20, 1 Sn 3.20, 2 Bi 3.23
Bi  0.0000  0.5000  0.5000  6 Ce 3.22-3.23


No. 3
Ce4SnBi2Sb | PBE | optimized geometry

Computed properties:
Total energy, eV per cell: -45.83

Lattice parameters (Å, degrees): 4.5477 7.8845 7.8750 70.55 90.00 90.00
With the nearest neighbours (Å) after each atom.
Sites, in units of the cell vectors:
Sb  0.0000  0.5000  0.5000  6 Ce 3.19
Ce  0.0000  0.7430  0.7529  2 Sn 3.19, 1 Sb 3.19, 3 Bi 3.24-3.25
Ce  0.5000  0.7432  0.2517  1 Sn 3.18, 2 Sb 3.19, 3 Bi 3.24-3.25
Ce  0.5000  0.2568  0.7483  1 Sn 3.18, 2 Sb 3.19, 3 Bi 3.24-3.25
Ce  0.0000  0.2570  0.2471  2 Sn 3.19, 1 Sb 3.19, 3 Bi 3.24-3.25
Bi  0.0000  0.0000  0.0000  6 Ce 3.24
Bi  0.5000  0.0000  0.5000  6 Ce 3.25
Sn  0.5000  0.5000  0.0000  6 Ce 3.18-3.19